DFT (PBEsol) results for a geometry-optimized GeAs structure.

Cell and atoms, written as extended XYZ:
```
12
Lattice="7.583 -1.912 0.000 7.583 1.912 0.000 -1.473 0.000 9.272" Properties=species:S:1:pos:R:3 pbc="T T T"
Ge 0.916 0.000 0.827
Ge 2.770 0.000 6.637
Ge 4.833 0.000 5.317
Ge 8.860 0.000 3.955
Ge 10.923 0.000 2.635
Ge 12.777 0.000 8.445
As -0.064 0.000 3.123
As 3.682 0.000 8.920
As 4.890 0.000 2.851
As 8.803 0.000 6.421
As 10.011 0.000 0.352
As 13.757 0.000 6.149
```

## Properties
* volume: 22.41 A^3/atom
* space group: C2/m, No. 12
* uncorrected energy: -5.05 eV/atom
* magnetization: 0.000 μB/f.u.
* formation energy: -0.03 eV/atom
* mass density: 5.5 g/cm3